Record 1
VASP calculation (PBE) on LaHo2TmP4 after structural relaxation.

Calculated values
- energy (Ry per atom) = -0.48507
- calculated formation energy (eV/f.u.) = -12.60
- SG = P2/m, No. 10

a = 4.054 Å, b = 7.019 Å, c = 7.016 Å
α = 70.59°, β = 90.00°, γ = 90.00°
Atoms (fractional coordinates):
La1 0.500 0.500 0.000
Ho1 0.000 0.000 0.000
Ho2 0.500 0.000 0.500
Tm1 0.000 0.500 0.500
P1 0.000 0.759 0.739
P2 0.000 0.241 0.261
P3 0.500 0.753 0.256
P4 0.500 0.247 0.744



Record 2
VASP calculation (PBE) on La3Ho2TmP6 after structural relaxation.

Calculated values
- energy (Ry per atom) = -0.48859
- calculated formation energy (eV/f.u.) = -18.90
- SG = C2/m, No. 12

a = 7.147 Å, b = 7.147 Å, c = 7.143 Å
α = 99.60°, β = 99.60°, γ = 120.00°
Atoms (fractional coordinates):
La1 0.167 0.833 0.500
La2 0.833 0.167 0.500
La3 0.500 0.500 0.500
Ho1 0.333 0.667 0.000
Ho2 0.667 0.333 0.000
Tm1 0.000 0.000 0.000
P1 0.922 0.590 0.766
P2 0.746 0.746 0.234
P3 0.078 0.410 0.234
P4 0.590 0.922 0.766
P5 0.254 0.254 0.766
P6 0.410 0.078 0.234



Question: What is the formula in the second record?
Answer: La3Ho2TmP6